Record 1
HgPtS2N (PBE, optimized geometry); excess energy over the best structure of this formula in the dataset = 1148.6 meV per atom; ΔE_f (raw) = 1.82 eV/atom; M_tot = 2.25 Bohr magnetons per cell
1.0
5.061 0.000 0.000
0.000 5.061 0.000
0.000 0.000 4.041
Hg Pt S N
1 1 2 1
Direct
0.000 0.000 0.000 Hg
0.500 0.500 0.500 Pt
0.000 0.500 0.000 S
0.500 0.000 0.000 S
0.000 0.000 0.500 N



Record 2
TmMgRhPb (PBE, optimized geometry); energy of formation = -1.49 eV/f.u.; excess energy over the best structure of this formula in the dataset = 146.9 meV per atom; M_tot = 0.00 Bohr magnetons per cell
1.0
0.000 3.484 3.484
3.484 0.000 3.484
3.484 3.484 0.000
Tm Mg Rh Pb
1 1 1 1
Direct
0.000 0.000 0.000 Tm
0.500 0.500 0.500 Mg
0.750 0.750 0.750 Rh
0.250 0.250 0.250 Pb



Record 3
CeCoRu2C (PBE, optimized geometry); energy of formation = -0.95 eV/f.u.; M_tot = 0.88 Bohr magnetons per cell
1.0
4.187 0.000 0.000
0.000 4.187 0.000
0.000 0.000 3.977
Ce Co Ru C
1 1 2 1
Direct
0.000 0.000 0.000 Ce
0.500 0.500 0.000 Co
0.000 0.500 0.500 Ru
0.500 0.000 0.500 Ru
0.500 0.500 0.500 C



Record 4
Ac6Ir2Rh3Cl (PBE, optimized geometry); ΔE_f (raw) = -0.79 eV/atom; M_tot = 0.00 Bohr magnetons per cell
1.0
9.435 -2.158 0.000
9.435 2.158 0.000
-2.077 0.000 8.491
Ac Ir Rh Cl
6 2 3 1
Direct
0.001 0.001 0.270 Ac
0.326 0.326 0.912 Ac
0.331 0.331 0.421 Ac
0.669 0.669 0.579 Ac
0.674 0.674 0.088 Ac
0.999 0.999 0.730 Ac
0.163 0.163 0.324 Ir
0.837 0.837 0.676 Ir
0.157 0.157 0.831 Rh
0.500 0.500 0.500 Rh
0.843 0.843 0.169 Rh
0.500 0.500 0.000 Cl